Record 1
Density functional theory data (PBE) for a relaxed structure of YGaCuPd.

Geometry as CIF:
```
data_YGaCuPd
_chemical_formula_sum 'Y4 Ga4 Cu4 Pd4'
_space_group_name_H-M_alt 'F -4 3 m'
_space_group_IT_number 216
_space_group_name_Hall 'F -4 2 3'
_cell_length_a 6.563
_cell_length_b 6.563
_cell_length_c 6.563
_cell_angle_alpha 90.00
_cell_angle_beta 90.00
_cell_angle_gamma 90.00
loop_
_atom_site_label
_atom_site_type_symbol
_atom_site_fract_x
_atom_site_fract_y
_atom_site_fract_z
Y1 Y 0.000 0.000 0.000
Ga1 Ga 0.000 0.000 0.500
Cu1 Cu 0.250 0.250 0.750
Pd1 Pd 0.250 0.250 0.250
```

Summary:
The calculation puts the total moment at 0.000 μB per atom. The calculation puts the energy above the lowest structure with this stoichiometry at 0 meV per atom.

=====

Record 2
Density functional theory data (PBE) for a relaxed structure of ZrGaCuAg.

Geometry as CIF:
```
data_ZrGaCuAg
_chemical_formula_sum 'Zr4 Ga4 Cu4 Ag4'
_space_group_name_H-M_alt 'F -4 3 m'
_space_group_IT_number 216
_space_group_name_Hall 'F -4 2 3'
_cell_length_a 6.480
_cell_length_b 6.480
_cell_length_c 6.480
_cell_angle_alpha 90.00
_cell_angle_beta 90.00
_cell_angle_gamma 90.00
loop_
_atom_site_label
_atom_site_type_symbol
_atom_site_fract_x
_atom_site_fract_y
_atom_site_fract_z
Zr1 Zr 0.000 0.000 0.000
Ga1 Ga 0.250 0.250 0.250
Cu1 Cu 0.000 0.000 0.500
Ag1 Ag 0.250 0.250 0.750
```

Summary:
The calculation puts the total moment at 0.001 μB per atom. The calculation puts the energy above the lowest structure with this stoichiometry at 19 meV per atom.

=====

Record 3
Density functional theory data (PBE) for a relaxed structure of Cs2TlHgF6.

Geometry as CIF:
```
data_Cs2TlHgF6
_chemical_formula_sum 'Cs6 Tl3 Hg3 F18'
_space_group_name_H-M_alt 'R -3'
_space_group_IT_number 148
_space_group_name_Hall '-R 3'
_cell_length_a 6.4918
_cell_length_b 6.4918
_cell_length_c 15.4405
_cell_angle_alpha 90.00
_cell_angle_beta 90.00
_cell_angle_gamma 120.00
loop_
_atom_site_label
_atom_site_type_symbol
_atom_site_fract_x
_atom_site_fract_y
_atom_site_fract_z
Cs1 Cs 0.0000 0.0000 0.2501
Tl1 Tl 0.0000 0.0000 0.0000
Hg1 Hg 0.0000 0.0000 0.5000
F1 F 0.0014 0.5470 0.2499
```

Summary:
The value obtained for the electronic total energy is -3.615 eV/atom.